The following is a PBE calculation of an optimized crystal structure of Ga2CuRu2, from Alexandria.

The space group is P4/mbm (No. 127) and the conventional cell measures 6.739, 6.739 and 3.169 Å, with angles of 90.00, 90.00 and 90.00 degrees. The distinct sites, in fractional coordinates, are Ga at (0.141, 0.359, 0.000), Cu at (0.000, 0.000, 0.000) and Ru at (0.159, 0.659, 0.500).

Its total energy is -5.799 eV per atom. Its energy above the most stable polymorph in this dataset is 0 meV/atom.